Below is a geometry-optimized Tb6Si2PbS3 structure, with properties calculated at the PBE-GGA level.

Cell lengths 17.942, 4.065, 8.300 Å; angles 90.00, 104.01, 90.00 degrees
Space group C2/m (No. 12)
Unique sites:
Tb1 0.000 0.000 0.228 (multiplicity 4)
Tb2 0.169 0.500 0.080 (multiplicity 4)
Tb3 0.174 0.500 0.592 (multiplicity 4)
Si1 0.166 0.000 0.832 (multiplicity 4)
Pb1 0.000 0.500 0.500 (multiplicity 2)
S1 0.000 0.500 0.000 (multiplicity 2)
S2 0.166 0.000 0.331 (multiplicity 4)

Output
- Energy: -5.86 eV per atom

=====

Below is a geometry-optimized Y6Si2PbS3 structure, with properties calculated at the PBE-GGA level.

Cell lengths 17.909, 4.052, 8.285 Å; angles 90.00, 104.09, 90.00 degrees
Space group C2/m (No. 12)
Unique sites:
Y1 0.000 0.000 0.229 (multiplicity 4)
Y2 0.170 0.500 0.079 (multiplicity 4)
Y3 0.174 0.500 0.592 (multiplicity 4)
Si1 0.166 0.000 0.832 (multiplicity 4)
Pb1 0.000 0.500 0.500 (multiplicity 2)
S1 0.000 0.500 0.000 (multiplicity 2)
S2 0.166 0.000 0.331 (multiplicity 4)

Output
- Energy: -6.79 eV per atom

=====

Below is a geometry-optimized ZnSi2PbS6 structure, with properties calculated at the PBE-GGA level.

Cell lengths 12.498, 12.602, 6.520 Å; angles 90.00, 109.50, 90.00 degrees
Space group C2/c (No. 15)
Unique sites:
Zn1 0.000 0.248 0.250 (multiplicity 4)
Si1 0.199 0.072 0.702 (multiplicity 8)
Pb1 0.000 0.386 0.750 (multiplicity 4)
S1 0.121 0.417 0.210 (multiplicity 8)
S2 0.131 0.225 0.584 (multiplicity 8)
S3 0.136 0.058 0.977 (multiplicity 8)

Output
- Energy: -4.60 eV per atom

=====

Below is a geometry-optimized SmPb2S3 structure, with properties calculated at the PBE-GGA level.

Cell lengths 7.658, 4.014, 11.074 Å; angles 90.00, 105.43, 90.00 degrees
Space group P2_1/m (No. 11)
Unique sites:
Sm1 0.011 0.250 0.328 (multiplicity 2)
Pb1 0.261 0.250 0.996 (multiplicity 2)
Pb2 0.447 0.750 0.356 (multiplicity 2)
S1 0.101 0.750 0.172 (multiplicity 2)
S2 0.185 0.750 0.492 (multiplicity 2)
S3 0.339 0.750 0.840 (multiplicity 2)

Output
- Energy: -5.10 eV per atom

=====

Below is a geometry-optimized SmPbS2 structure, with properties calculated at the PBE-GGA level.

Cell lengths 4.0321, 4.0321, 26.2087 Å; angles 90.00, 90.00, 120.00 degrees
Space group R-3m (No. 166, hexagonal axes)
Unique sites:
Sm1 0.0000 0.0000 0.0000 (multiplicity 3)
Pb1 0.0000 0.0000 0.5000 (multiplicity 3)
S1 0.0000 0.0000 0.3917 (multiplicity 6)

Output
- Excess energy over the best structure of this formula in the dataset: 0 meV per atom

=====

Below is a geometry-optimized Sm2Pb2S5 structure, with properties calculated at the PBE-GGA level.

Cell lengths 14.632, 7.722, 7.739 Å; angles 90.00, 90.00, 90.00 degrees
Space group Cmce (No. 64)
Unique sites:
Sm1 0.000 0.160 0.160 (multiplicity 8)
Pb1 0.196 0.000 0.500 (multiplicity 8)
S1 0.000 0.000 0.500 (multiplicity 4)
S2 0.127 0.153 0.849 (multiplicity 16)

Output
- Energy: -5.49 eV per atom

=====

Below is a geometry-optimized Sm3PbS6 structure, with properties calculated at the PBE-GGA level.

Cell lengths 10.882, 13.602, 6.896 Å; angles 90.00, 90.00, 90.00 degrees
Space group Cmc2_1 (No. 36)
Unique sites:
Sm1 0.000 0.095 0.000 (multiplicity 4)
Sm2 0.188 0.399 0.903 (multiplicity 8)
Pb1 0.000 0.324 0.392 (multiplicity 4)
S1 0.000 0.271 0.771 (multiplicity 4)
S2 0.000 0.491 0.143 (multiplicity 4)
S3 0.164 0.030 0.704 (multiplicity 8)
S4 0.170 0.233 0.181 (multiplicity 8)

Output
- Energy: -5.83 eV per atom

=====

Below is a geometry-optimized Sm5PbS4 structure, with properties calculated at the PBE-GGA level.

Cell lengths 13.587, 4.108, 10.163 Å; angles 90.00, 119.32, 90.00 degrees
Space group C2/m (No. 12)
Unique sites:
Sm1 0.000 0.000 0.000 (multiplicity 2)
Sm2 0.110 0.500 0.387 (multiplicity 4)
Sm3 0.205 0.000 0.817 (multiplicity 4)
Pb1 0.000 0.000 0.500 (multiplicity 2)
S1 0.095 0.500 0.899 (multiplicity 4)
S2 0.204 0.000 0.290 (multiplicity 4)

Output
- Energy: -6.06 eV per atom